{"formula": "ErSc2Ga", "functional": "GGA-PBE", "state": "optimized geometry", "spacegroup": "No. 123", "rho_g_cm3": 5.8, "magmom_total_mub_per_fu": 0.0, "energy_ev_per_cell": -21.414, "formation_energy_mev_per_atom": -290, "polymorph_energy_ev_per_fu": 0.08, "lattice": [[-1.5588, 1.6229, 2.4488], [-0.8280, -2.9025, 1.3965], [7.1356, 0.1135, 4.4670]], "species": ["Sc", "Sc", "Ga", "Er"], "frac_coords": [[0.0000, 0.0000, 0.7927], [0.0000, 0.0000, 0.2073], [0.5000, 0.5000, 0.0000], [0.5000, 0.5000, 0.5000]]}